Below is a relaxed structure of CaEr2Al, with properties calculated at the PBE-GGA level.

```
4
Lattice="5.3475 0.0000 0.0000 2.6738 4.6311 0.0000 2.6738 1.5437 4.3662" Properties=species:S:1:pos:R:3 pbc="T T T"
Er 8.0213 4.6311 3.2747
Er 2.6738 1.5437 1.0916
Al 0.0000 0.0000 0.0000
Ca 5.3475 3.0874 2.1831
```

Properties
Polymorph energy (0 for the lowest one), meV/atom: 113
Energy relative to the elements, meV per atom: -32
Size of the total moment, μB/atom: 0.0000